# 1
Computed, not measured: crystalline Sm2YTlN at its relaxed geometry at the PBE level of DFT.

It has space group P4/mmm (No. 123), with a = 4.963 Å, b = 4.963 Å, c = 4.835 Å, α = 90.00°, β = 90.00° and γ = 90.00°. The asymmetric unit holds Sm at (0.000, 0.500, 0.000), Y at (0.000, 0.000, 0.500), Tl at (0.500, 0.500, 0.500) and N at (0.000, 0.000, 0.000).

For the energy relative to the elements, uncorrected, the calculation gives -0.892 eV/atom.

# 2
Computed, not measured: crystalline BaLa2Cu at its relaxed geometry at the PBE level of DFT.

It has space group Pmmm (No. 47), with a = 3.795 Å, b = 5.796 Å, c = 6.019 Å, α = 90.00°, β = 90.00° and γ = 90.00°. The asymmetric unit holds Ba at (0.000, 0.000, 0.000), La at (0.000, 0.500, 0.500), La at (0.500, 0.000, 0.500) and Cu at (0.500, 0.500, 0.000).

For the formation energy from the elements, the calculation gives 0.256 eV/atom. As for the offset from the most stable computed form: 0.240 eV per atom.

# 3
Computed, not measured: crystalline K2DyAlTe4 at its relaxed geometry at the PBE level of DFT.

It has space group Imma (No. 74), with a = 8.854 Å, b = 9.318 Å, c = 12.978 Å, α = 90.00°, β = 90.00° and γ = 90.00°. The asymmetric unit holds K at (0.000, 0.000, 0.000), K at (0.250, 0.250, 0.250), Dy at (0.000, 0.000, 0.500), Al at (0.250, 0.250, 0.750), Te at (0.000, 0.046, 0.740) and Te at (0.231, 0.250, 0.521).

For the energy relative to the elements, uncorrected, the calculation gives -0.939 eV/atom.

# 4
Computed, not measured: crystalline Pr3MgP2Pd9 at its relaxed geometry at the PBE level of DFT.

It has space group P-3m1 (No. 164), with a = 6.2118 Å, b = 6.2118 Å, c = 9.5916 Å, α = 90.00°, β = 90.00° and γ = 120.00°. The asymmetric unit holds Pr at (0.0000, 0.0000, 0.0000), Pr at (0.3333, 0.6667, 0.7034), Mg at (0.0000, 0.0000, 0.5000), P at (0.3333, 0.6667, 0.1612), Pd at (0.0000, 0.5000, 0.0000) and Pd at (0.1490, 0.2980, 0.2776).

For the formation energy from the elements, the calculation gives -0.664 eV/atom.

# 5
Computed, not measured: crystalline KSr3V at its relaxed geometry at the PBE level of DFT.

It has space group Pm-3m (No. 221), with a = 6.597 Å, b = 6.597 Å, c = 6.597 Å, α = 90.00°, β = 90.00° and γ = 90.00°. The asymmetric unit holds K at (0.000, 0.000, 0.000), Sr at (0.000, 0.000, 0.500) and V at (0.500, 0.500, 0.500).

For the formation energy from the elements, the calculation gives 1.363 eV/atom. As for the offset from the most stable computed form: 0.846 eV per atom.

# 6
Computed, not measured: crystalline LiSm2Hf at its relaxed geometry at the PBE level of DFT.

It has space group R3m (No. 160, hexagonal axes), with a = 3.3886 Å, b = 3.3886 Å, c = 33.6685 Å, α = 90.00°, β = 90.00° and γ = 120.00°. The asymmetric unit holds Li at (0.0000, 0.0000, 0.0000), Sm at (0.0000, 0.0000, 0.2454), Sm at (0.0000, 0.0000, 0.4214) and Hf at (0.0000, 0.0000, 0.8333).

For the formation energy from the elements, the calculation gives 0.155 eV/atom. As for the offset from the most stable computed form: 0.035 eV per atom.

# 7
Computed, not measured: crystalline K4Rb3H at its relaxed geometry at the PBE level of DFT.

It has space group Pmmn (No. 59, origin choice 2), with a = 5.294 Å, b = 13.163 Å, c = 15.819 Å, α = 90.00°, β = 90.00° and γ = 90.00°. The asymmetric unit holds K at (0.250, 0.031, 0.122), K at (0.250, 0.250, 0.907), K at (0.250, 0.750, 0.889), Rb at (0.250, 0.568, 0.621), Rb at (0.250, 0.750, 0.344) and H at (0.250, 0.250, 0.080).

# 8
Computed, not measured: crystalline ZrTc2Br at its relaxed geometry at the PBE level of DFT.

It has space group Pmmm (No. 47), with a = 3.110 Å, b = 4.623 Å, c = 4.755 Å, α = 90.00°, β = 90.00° and γ = 90.00°. The asymmetric unit holds Zr at (0.000, 0.000, 0.000), Tc at (0.000, 0.500, 0.500), Tc at (0.500, 0.000, 0.500) and Br at (0.500, 0.500, 0.000).

For the energy relative to the elements, uncorrected, the calculation gives 0.418 eV/atom. As for the offset from the most stable computed form: 0.451 eV per atom.

# 9
Computed, not measured: crystalline Ho4CdAgIr2 at its relaxed geometry at the PBE level of DFT.

It has space group R-3m (No. 166, hexagonal axes), with a = 4.9870 Å, b = 4.9870 Å, c = 24.3647 Å, α = 90.00°, β = 90.00° and γ = 120.00°. The asymmetric unit holds Ho at (0.0000, 0.0000, 0.1231), Ho at (0.0000, 0.0000, 0.3731), Cd at (0.0000, 0.0000, 0.5000), Ag at (0.0000, 0.0000, 0.0000) and Ir at (0.0000, 0.0000, 0.2494).

For the formation energy from the elements, the calculation gives -0.589 eV/atom.

# 10
Computed, not measured: crystalline LiErAl at its relaxed geometry at the PBE level of DFT.

It has space group P3m1 (No. 156), with a = 4.8049 Å, b = 4.8049 Å, c = 3.2102 Å, α = 90.00°, β = 90.00° and γ = 120.00°. The asymmetric unit holds Li at (0.0000, 0.0000, 0.0000), Er at (0.6667, 0.3333, 0.5012) and Al at (0.3333, 0.6667, 0.0017).

For the formation energy from the elements, the calculation gives -0.202 eV/atom. As for the offset from the most stable computed form: 0.000 eV per atom.

# 11
Computed, not measured: crystalline LuNpAu2 at its relaxed geometry at the PBE level of DFT.

It has space group P4/mmm (No. 123), with a = 3.439 Å, b = 3.439 Å, c = 7.622 Å, α = 90.00°, β = 90.00° and γ = 90.00°. The asymmetric unit holds Lu at (0.000, 0.000, 0.000), Np at (0.000, 0.000, 0.500) and Au at (0.500, 0.500, 0.228).

For the formation energy from the elements, the calculation gives -0.440 eV/atom. As for the offset from the most stable computed form: 0.000 eV per atom.

# 12
Computed, not measured: crystalline LiPt2Cl at its relaxed geometry at the PBE level of DFT.

It has space group Cmmm (No. 65), with a = 2.742 Å, b = 4.585 Å, c = 11.558 Å, α = 90.00°, β = 90.00° and γ = 90.00°. The asymmetric unit holds Li at (0.000, 0.000, 0.000), Pt at (0.000, 0.500, 0.187) and Cl at (0.000, 0.000, 0.500).

For the energy relative to the elements, uncorrected, the calculation gives -0.027 eV/atom. As for the offset from the most stable computed form: 0.307 eV per atom.

# 13
Computed, not measured: crystalline RbGaH at its relaxed geometry at the PBE level of DFT.

It has space group P2/m (No. 10), with a = 5.656 Å, b = 3.504 Å, c = 7.713 Å, α = 90.00°, β = 92.00° and γ = 90.00°. The asymmetric unit holds Rb at (0.000, 0.000, 0.000), Rb at (0.000, 0.000, 0.500), Ga at (0.490, 0.500, 0.176) and H at (0.213, 0.500, 0.763).

As for the offset from the most stable computed form: 0.155 eV per atom.

# 14
Computed, not measured: crystalline Y2TlNi at its relaxed geometry at the PBE level of DFT.

It has space group P4/mmm (No. 123), with a = 5.088 Å, b = 5.088 Å, c = 3.689 Å, α = 90.00°, β = 90.00° and γ = 90.00°. The asymmetric unit holds Y at (0.000, 0.500, 0.000), Tl at (0.000, 0.000, 0.500) and Ni at (0.500, 0.500, 0.500).

For the formation energy from the elements, the calculation gives -0.257 eV/atom.

# 15
Computed, not measured: crystalline Ti2CuTc2 at its relaxed geometry at the PBE level of DFT.

It has space group P4/mbm (No. 127), with a = 6.840 Å, b = 6.840 Å, c = 3.321 Å, α = 90.00°, β = 90.00° and γ = 90.00°. The asymmetric unit holds Ti at (0.163, 0.337, 0.000), Cu at (0.000, 0.000, 0.500) and Tc at (0.142, 0.642, 0.500).

For the formation energy from the elements, the calculation gives 0.022 eV/atom. As for the offset from the most stable computed form: 0.000 eV per atom.

# 16
Computed, not measured: crystalline Ho4SnSb2As at its relaxed geometry at the PBE level of DFT.

It has space group P2/m (No. 10), with a = 7.361 Å, b = 4.253 Å, c = 7.608 Å, α = 90.00°, β = 108.91° and γ = 90.00°. The asymmetric unit holds Ho at (0.236, 0.000, 0.235), Ho at (0.245, 0.500, 0.760), Sn at (0.000, 0.000, 0.500), Sb at (0.500, 0.000, 0.000), Sb at (0.500, 0.500, 0.500) and As at (0.000, 0.500, 0.000).

For the energy relative to the elements, uncorrected, the calculation gives -1.034 eV/atom.

# 17
Computed, not measured: crystalline Tb2NdAu at its relaxed geometry at the PBE level of DFT.

It has space group P4/mmm (No. 123), with a = 3.654 Å, b = 3.654 Å, c = 8.611 Å, α = 90.00°, β = 90.00° and γ = 90.00°. The asymmetric unit holds Tb at (0.000, 0.000, 0.202), Nd at (0.500, 0.500, 0.500) and Au at (0.500, 0.500, 0.000).

For the formation energy from the elements, the calculation gives -0.399 eV/atom. As for the offset from the most stable computed form: 0.023 eV per atom.

# 18
Computed, not measured: crystalline HfCdP2O8 at its relaxed geometry at the PBE level of DFT.

It has space group C2/m (No. 12), with a = 8.423 Å, b = 5.410 Å, c = 7.203 Å, α = 90.00°, β = 94.35° and γ = 90.00°. The asymmetric unit holds Hf at (0.000, 0.000, 0.000), Cd at (0.000, 0.000, 0.500), P at (0.160, 0.500, 0.234), O at (0.051, 0.265, 0.210), O at (0.227, 0.000, 0.926) and O at (0.248, 0.500, 0.426).

For the energy relative to the elements, uncorrected, the calculation gives -2.439 eV/atom.

# 19
Computed, not measured: crystalline BeSeBrN2 at its relaxed geometry at the PBE level of DFT.

It has space group P4/mmm (No. 123), with a = 3.676 Å, b = 3.676 Å, c = 7.884 Å, α = 90.00°, β = 90.00° and γ = 90.00°. The asymmetric unit holds Be at (0.000, 0.000, 0.000), Se at (0.500, 0.500, 0.000), Br at (0.500, 0.500, 0.500) and N at (0.000, 0.500, 0.500).

For the energy relative to the elements, uncorrected, the calculation gives 2.108 eV/atom. As for the offset from the most stable computed form: 0.743 eV per atom.

# 20
Computed, not measured: crystalline TbPa2P3 at its relaxed geometry at the PBE level of DFT.

It has space group Pnma (No. 62), with a = 7.967 Å, b = 5.632 Å, c = 11.922 Å, α = 90.00°, β = 90.00° and γ = 90.00°. The asymmetric unit holds Tb at (0.124, 0.250, 0.081), Pa at (0.124, 0.250, 0.417), Pa at (0.125, 0.250, 0.751), P at (0.124, 0.750, 0.416), P at (0.126, 0.750, 0.751) and P at (0.129, 0.750, 0.085).

For the formation energy from the elements, the calculation gives -1.416 eV/atom.

| no. | calculated density (g/cm3) | uncorrected energy (eV/atom) |
| --- | --- | --- |
| 1 | 8.5 | -6.211 |
| 2 | 6.0 | -3.712 |
| 3 | 4.8 | -3.827 |
| 4 | 7.6 | -5.563 |
| 5 | 2.0 | -1.689 |
| 6 | 7.2 | -5.171 |
| 7 | 1.2 | -1.314 |
| 8 | 8.9 | -7.320 |
| 9 | 12.0 | -5.564 |
| 10 | 5.2 | -3.608 |
| 11 | 14.8 | -6.444 |
| 12 | 9.9 | -3.988 |
| 13 | 3.4 | -2.455 |
| 14 | 7.7 | -5.526 |
| 15 | 7.6 | -8.102 |
| 16 | 8.1 | -5.435 |
| 17 | 9.5 | -4.725 |
| 18 | 4.9 | -7.552 |
| 19 | 3.1 | -2.999 |
| 20 | 8.9 | -8.058 |